[1]
Tl5Ge2O6: optimized geometry, GGA-PBE.

It has space group C2/c (No. 15), with a = 12.796 Å, b = 7.000 Å, c = 13.773 Å, α = 90.00°, β = 103.43° and γ = 90.00°. Symmetry generates all atoms from Tl at (0.000, 0.034, 0.250), Tl at (0.051, 0.229, 0.019), Tl at (0.154, 0.411, 0.789), Ge at (0.231, 0.318, 0.585), O at (0.114, 0.441, 0.594), O at (0.187, 0.228, 0.296) and O at (0.202, 0.093, 0.511).

***

[2]
Tm3Tl3GeO8: optimized geometry, GGA-PBE.

It has space group R-3m (No. 166, hexagonal axes), with a = 6.6539 Å, b = 6.6539 Å, c = 19.7161 Å, α = 90.00°, β = 90.00° and γ = 120.00°. Symmetry generates all atoms from Tm at (0.0000, 0.5000, 0.0000), Tl at (0.0000, 0.5000, 0.5000), Ge at (0.0000, 0.0000, 0.0000), O at (0.0000, 0.0000, 0.2790) and O at (0.0366, 0.5183, 0.7196).

***

[3]
TmTl2Ge2O6: optimized geometry, GGA-PBE.

It has space group C2/m (No. 12), with a = 10.438 Å, b = 6.048 Å, c = 7.023 Å, α = 90.00°, β = 122.06° and γ = 90.00°. Symmetry generates all atoms from Tm at (0.000, 0.000, 0.000), Tl at (0.209, 0.000, 0.665), Ge at (0.056, 0.500, 0.722), O at (0.023, 0.259, 0.244) and O at (0.249, 0.000, 0.160).

***

[4]
TmTlGeO4: optimized geometry, GGA-PBE.

It has space group P2_1/m (No. 11), with a = 5.581 Å, b = 5.719 Å, c = 8.061 Å, α = 90.00°, β = 103.21° and γ = 90.00°. Symmetry generates all atoms from Tm at (0.187, 0.250, 0.468), Tl at (0.133, 0.750, 0.142), Ge at (0.360, 0.750, 0.663), O at (0.148, 0.515, 0.665), O at (0.333, 0.250, 0.224) and O at (0.401, 0.750, 0.446).

***

[5]
UTl2GeO6: optimized geometry, GGA-PBE.

It has space group Fm-3m (No. 225), with a = 8.215 Å, b = 8.215 Å, c = 8.215 Å, α = 90.00°, β = 90.00° and γ = 90.00°. Symmetry generates all atoms from U at (0.000, 0.000, 0.000), Tl at (0.250, 0.250, 0.250), Ge at (0.000, 0.000, 0.500) and O at (0.000, 0.000, 0.259).

***

One value per record, in order, for formation energy from raw total energies: -1.03 -2.22 -1.70 -2.14 -1.83 eV/atom.